Material: ZrGa2Ni3
Method: DFT, PBE
State: relaxed

abc: 4.096 4.096 11.550
angles: 90.00 90.00 120.00
Positions (direct):
Zr 0.000 0.000 0.250
Zr 0.000 0.000 0.750
Ga 0.667 0.333 0.416
Ga 0.333 0.667 0.584
Ga 0.333 0.667 0.916
Ga 0.667 0.333 0.084
Ni 0.000 0.000 0.500
Ni 0.000 0.000 0.000
Ni 0.667 0.333 0.634
Ni 0.333 0.667 0.134
Ni 0.667 0.333 0.866
Ni 0.333 0.667 0.366

Values from the calculation:
The value obtained for the formation energy is -0.52 eV per atom.

***

Material: Na2CuGeS4
Method: DFT, PBE
State: relaxed

abc: 6.256 5.986 5.986
angles: 74.15 58.50 58.50
Each line ends with the local moment (μB).
Positions (direct):
Na 0.000 0.500 0.500  0.00
Na 0.500 0.500 0.500  0.00
Cu 0.000 0.000 0.000  0.37
Ge 0.500 0.000 0.000  0.00
S 0.099 0.331 0.000  0.10
S 0.901 0.000 0.669  0.10
S 0.571 0.000 0.331  0.10
S 0.429 0.669 0.000  0.10

Values from the calculation:
The calculation puts the formation energy without anion corrections at -4.60 eV/f.u.

***

Material: Mg3Cd2Ni
Method: DFT, PBE
State: relaxed

abc: 4.677 7.456 6.820
angles: 90.00 90.00 71.72
Positions (direct):
Mg 0.822 0.356 0.786
Mg 0.500 0.000 0.231
Mg 0.178 0.644 0.214
Mg 0.822 0.356 0.214
Mg 0.178 0.644 0.786
Mg 0.500 0.000 0.769
Cd 0.000 0.000 0.000
Cd 0.000 0.000 0.500
Cd 0.336 0.329 0.500
Cd 0.664 0.671 0.500
Ni 0.341 0.317 0.000
Ni 0.659 0.683 0.000

Values from the calculation:
The value obtained for the formation energy is -0.11 eV per atom.

***

Material: Gd2CF
Method: DFT, PBE
State: relaxed

abc: 3.622 3.622 6.389
angles: 73.53 73.53 60.00
Each line ends with the local moment (μB).
Positions (direct):
C 0.000 0.000 0.000  -0.08
Gd 0.740 0.740 0.780  7.04
Gd 0.260 0.260 0.220  7.04
F 0.500 0.500 0.500  0.00

Values from the calculation:
The calculation puts the formation energy without anion corrections at -6.08 eV/f.u.

***

Material: IrRuW4
Method: DFT, PBE
State: relaxed

abc: 5.171 5.171 5.171
angles: 60.00 60.00 60.00
Positions (direct):
Ir 0.250 0.250 0.250
Ru 0.000 0.000 0.000
W 0.625 0.625 0.125
W 0.625 0.125 0.625
W 0.625 0.625 0.625
W 0.125 0.625 0.625

Values from the calculation:
The value obtained for the formation energy is 0.40 eV per atom.

***

Material: Tl3BBr
Method: DFT, PBE
State: relaxed

abc: 6.116 6.116 6.116
angles: 90.00 90.00 90.00
Each line ends with the local moment (μB).
Positions (direct):
Tl 0.000 0.500 0.000  0.03
Tl 0.000 0.000 0.500  0.04
Tl 0.500 0.000 0.000  0.05
B 0.500 0.500 0.500  0.39
Br 0.000 0.000 0.000  0.01

Values from the calculation:
The polymorph energy (0 for the lowest one) is 74.6 kJ per mole of atoms. The calculation puts the formation energy without anion corrections at 5.34 eV/f.u.

***

VASP energy per entry: -5.8449, -4.0571, -2.1721, -11.3337, -11.2566, -2.0212 eV/atom
Total magnetic moment per entry: 0.000, 0.132, 0.000, 3.567, 0.000, 0.344 μB/atom